An optimized crystal structure of Re2TcRu. Source: Alexandria, functional PBE. Values from VASP.

Calculated values
Excess energy over the best structure of this formula in the dataset: 0.126 eV/atom
Raw total energy: -10.973 eV per atom
Crystal system: monoclinic
Mass density: 15.89 Mg/m³
Calculated formation energy: 0.162 eV per atom
Symmetry: No. 14

Quantum ESPRESSO input file:
```
&SYSTEM
  ibrav = 0, nat = 16, ntyp = 3
/
ATOMIC_SPECIES
Re 186.21 Re.upf
Tc 98.00 Tc.upf
Ru 101.07 Ru.upf
CELL_PARAMETERS angstrom
5.080 0.000 0.000
0.000 9.218 0.000
-0.344 0.000 5.102
ATOMIC_POSITIONS angstrom
Re 0.032 2.139 0.243
Re -0.140 2.471 2.794
Re 2.281 6.478 0.914
Re 2.109 7.349 3.465
Re 2.627 1.869 1.637
Re 2.455 2.740 4.188
Re 4.876 6.748 2.308
Re 4.704 7.080 4.860
Tc 1.313 0.454 4.240
Tc 1.485 4.155 1.689
Tc 3.251 5.064 3.413
Tc 3.423 8.764 0.862
Ru 0.676 4.769 4.180
Ru 0.849 9.058 1.629
Ru 3.887 0.160 3.473
Ru 4.059 4.449 0.922
```